(1)
{"formula": "SiRu2Se", "functional": "PBE", "state": "optimized geometry", "polymorph_energy_ev_per_atom": 0.310, "raw_formation_energy_ev_per_atom": 0.129, "cell": [[-1.236, -0.014, -7.789], [-1.566, -2.968, -7.137], [-3.906, -1.057, -6.769]], "species": ["Si", "Ru", "Ru", "Se"], "frac_coords": [[0.744, 0.744, 0.744], [0.009, 0.009, 0.009], [0.244, 0.244, 0.244], [0.503, 0.503, 0.503]]}


(2)
{"formula": "NaIn7Ag5", "functional": "PBE", "state": "optimized geometry", "formation_energy_ev_per_atom": -0.052, "cell": [[5.395, 0.000, 2.216], [2.729, 7.127, 1.031], [-0.010, -0.059, 7.701]], "species": ["In", "In", "In", "In", "In", "In", "In", "Ag", "Ag", "Ag", "Ag", "Ag", "Na"], "frac_coords": [[0.649, 0.351, 0.351], [0.506, 0.798, 0.189], [0.506, 0.189, 0.798], [0.272, 0.228, 0.228], [0.993, 0.661, 0.353], [0.993, 0.353, 0.661], [0.346, 0.654, 0.654], [0.002, 0.997, 0.501], [0.002, 0.501, 0.997], [0.499, 0.501, 0.997], [0.499, 0.997, 0.501], [0.725, 0.775, 0.775], [0.006, 0.994, 0.994]]}


(3)
{"formula": "MnBe2Nb2Ir5", "functional": "PBE", "state": "optimized geometry", "formation_energy_ev_per_atom": -0.485, "cell": [[-1.817, 1.959, -1.340], [-4.082, -7.135, -4.893], [-6.406, -1.144, 7.013]], "species": ["Nb", "Nb", "Nb", "Nb", "Ir", "Ir", "Ir", "Ir", "Ir", "Ir", "Ir", "Ir", "Ir", "Ir", "Be", "Be", "Be", "Be", "Mn", "Mn"], "frac_coords": [[0.000, 0.678, 0.178], [0.000, 0.178, 0.322], [0.000, 0.822, 0.678], [0.000, 0.322, 0.822], [0.500, 0.210, 0.063], [0.500, 0.790, 0.937], [0.500, 0.290, 0.563], [0.500, 0.937, 0.210], [0.500, 0.563, 0.710], [0.500, 0.500, 0.000], [0.500, 0.710, 0.437], [0.500, 0.437, 0.290], [0.500, 0.063, 0.790], [0.500, 0.000, 0.500], [0.000, 0.875, 0.375], [0.000, 0.375, 0.125], [0.000, 0.625, 0.875], [0.000, 0.125, 0.625], [0.000, 0.000, 0.000], [0.000, 0.500, 0.500]]}